6
Lattice="-0.685 7.784 -3.704 -0.560 -1.616 -3.688 -3.352 1.560 1.688" Properties=species:S:1:pos:R:3 comment="SrRhF PBE optimized geometry" total_energy_ev_per_atom=-5.550 total_magnetization_mub_per_fu=0.00 de_polymorph_ev_per_atom=0.000 e_form_raw_ev_per_fu=-5.74 pbc="T T T"
Sr -3.035 6.306 -5.483
Sr -1.325 2.752 -3.903
Rh -2.705 1.706 -1.171
Rh -0.409 1.184 -0.821
F -4.191 6.600 -3.230
F -3.522 4.018 -4.469



12
Lattice="-2.831 6.580 -3.677 -0.749 -2.320 -3.575 -7.228 -1.661 2.591" Properties=species:S:1:pos:R:3 comment="SrRhF PBE optimized geometry" total_energy_ev_per_atom=-5.220 total_magnetization_mub_per_fu=0.00 de_polymorph_ev_per_atom=0.329 e_form_raw_ev_per_fu=-4.76 pbc="T T T"
Sr -7.173 3.858 -2.311
Sr -3.448 2.400 -4.764
Sr -3.635 -1.258 -2.351
Sr -7.360 0.199 0.102
Rh -4.755 1.986 -1.603
Rh -10.158 3.285 -3.933
Rh -6.052 0.613 -3.059
Rh -0.649 -0.685 -0.729
F -3.153 -1.047 0.030
F -8.388 -0.138 -2.082
F -7.654 3.646 -4.691
F -2.419 2.737 -2.579



6
Lattice="-1.879 -3.183 -1.439 3.879 -0.199 -0.805 0.277 -2.315 8.294" Properties=species:S:1:pos:R:3 comment="SrRhF PBE optimized geometry" total_energy_ev_per_atom=-5.512 total_magnetization_mub_per_fu=0.00 de_polymorph_ev_per_atom=0.038 e_form_raw_ev_per_fu=-5.63 pbc="T T T"
Sr -1.001 -3.779 1.864
Sr 1.638 -2.958 7.535
Rh 3.330 -2.913 4.415
Rh 1.142 -4.046 4.174
F 1.004 -2.216 1.296
F 1.777 -3.157 -1.159